1.
## RhPb2W (GGA-PBEsol)

Data for a relaxed RhPb2W crystal.

Cell lengths 3.040, 3.040, 9.137 Å; angles 90.00, 90.00, 90.00 degrees
Fractional coordinates of all 4 atoms:
Pb  0.000  0.000  0.951
Pb  0.500  0.500  0.306
Rh  0.000  0.000  0.540
W  0.500  0.500  0.702

Output
Space-group type: P4mm
Final energy (eV per cell): -28.83
E above lowest polymorph (kcal/mol of atoms): 0.00

2.
## RhPbW2 (GGA-PBEsol)

Data for a relaxed RhPbW2 crystal.

Cell lengths 2.901, 2.901, 8.297 Å; angles 90.00, 90.00, 99.90 degrees
Fractional coordinates of all 4 atoms:
Pb  0.000  0.000  0.491
Rh  0.500  0.500  0.222
W  0.000  0.000  0.013
W  0.500  0.500  0.774

Output
Space-group type: Cmm2
Final energy (eV per cell): -37.93

| no. | formation energy from the elements (eV/f.u.) |
| --- | --- |
| 1 | 1.114 |
| 2 | 1.823 |